# 1
First-principles (PBE) data for a geometry-optimized Pm2Nd3Er structure, as listed in the Alexandria database.

Structure (extended XYZ):
```
12
Lattice="6.775 0.000 0.000 0.000 17.999 0.000 0.000 0.000 3.431" Properties=species:S:1:pos:R:3 pbc="T T T"
Pm 1.590 2.678 0.000
Pm 1.798 11.678 1.716
Pm 4.977 6.322 1.716
Pm 5.185 15.321 0.000
Nd 0.000 0.000 1.716
Nd 1.621 5.750 1.716
Nd 1.766 14.750 0.000
Nd 3.387 9.000 0.000
Nd 5.009 3.249 0.000
Nd 5.154 12.249 1.716
Er 0.000 9.000 1.716
Er 3.387 0.000 0.000
```

Output
- total magnetization (Bohr magnetons per cell) = 0.00
- theoretical density (g/cm3) = 7.1
- V (Å³/atom) = 34.87
- calculated formation energy (kJ/mol of atoms) = 23.8
- distance to the lowest polymorph of the same formula (kJ per mole of atoms) = 0.0

# 2
First-principles (PBE) data for a geometry-optimized Y2Pt2Br structure, as listed in the Alexandria database.

Structure (extended XYZ):
```
10
Lattice="7.986 0.000 0.000 0.000 7.986 0.000 0.000 0.000 3.667" Properties=species:S:1:pos:R:3 pbc="T T T"
Y 1.348 2.645 0.000
Y 2.645 6.638 0.000
Y 5.341 1.348 0.000
Y 6.638 5.341 0.000
Pt 0.991 4.984 1.833
Pt 3.002 0.991 1.833
Pt 4.984 6.995 1.833
Pt 6.995 3.002 1.833
Br 0.000 0.000 0.000
Br 3.993 3.993 0.000
```

Output
- total magnetization (Bohr magnetons per cell) = 0.00
- uncorrected formation energy (eV/atom) = -1.152
- theoretical density (g/cm3) = 9.2
- V (Å³/atom) = 23.38
- distance to the lowest polymorph of the same formula (kJ per mole of atoms) = 0.0

# 3
First-principles (PBE) data for a geometry-optimized Tb6BiSe3S2 structure, as listed in the Alexandria database.

Structure (extended XYZ):
```
12
Lattice="8.970 -2.052 0.000 8.970 2.052 0.000 -1.952 0.000 8.037" Properties=species:S:1:pos:R:3 pbc="T T T"
Tb -0.334 0.000 2.194
Tb 4.096 0.000 7.135
Tb 5.055 0.000 3.433
Tb 10.934 0.000 4.604
Tb 11.893 0.000 0.903
Tb 16.323 0.000 5.844
Bi 8.970 0.000 0.000
Se 1.265 0.000 6.710
Se 7.994 0.000 4.019
Se 14.724 0.000 1.327
S 2.385 0.000 2.733
S 13.604 0.000 5.305
```

Output
- total magnetization (Bohr magnetons per cell) = 0.00
- uncorrected formation energy (eV/atom) = -1.662
- theoretical density (g/cm3) = 8.2
- V (Å³/atom) = 24.66

# 4
First-principles (PBE) data for a geometry-optimized Ba6NaPdO structure, as listed in the Alexandria database.

Structure (extended XYZ):
```
9
Lattice="7.949 0.000 0.000 -3.974 6.884 0.000 0.000 0.000 7.714" Properties=species:S:1:pos:R:3 pbc="T T T"
Ba -1.007 2.474 1.674
Ba -2.335 4.775 6.040
Ba 1.007 2.474 6.040
Ba -1.329 6.519 1.674
Ba 2.335 4.775 1.674
Ba 1.329 6.519 6.040
Na 3.974 2.295 3.857
Pd 0.000 0.000 0.000
O 0.000 4.589 0.000
```

Output
- total magnetization (Bohr magnetons per cell) = 0.00
- uncorrected formation energy (eV/atom) = -0.582
- theoretical density (g/cm3) = 3.8
- V (Å³/atom) = 46.90

# 5
First-principles (PBE) data for a geometry-optimized VRuC structure, as listed in the Alexandria database.

Structure (extended XYZ):
```
12
Lattice="9.708 0.000 0.000 0.000 2.807 0.000 -1.789 0.000 5.174" Properties=species:S:1:pos:R:3 pbc="T T T"
V 0.360 0.000 2.213
V 2.706 1.403 2.961
V 5.214 1.403 2.213
V 7.560 0.000 2.961
Ru -0.440 0.000 4.859
Ru 3.506 1.403 0.315
Ru 4.414 1.403 4.859
Ru 8.360 0.000 0.315
C 1.558 1.403 1.200
C 1.508 0.000 3.974
C 6.412 0.000 1.200
C 6.362 1.403 3.974
```

Output
- total magnetization (Bohr magnetons per cell) = 0.03
- theoretical density (g/cm3) = 7.7
- V (Å³/atom) = 11.75
- calculated formation energy (kJ/mol of atoms) = 23.9
- distance to the lowest polymorph of the same formula (kJ per mole of atoms) = 0.0

# 6
First-principles (PBE) data for a geometry-optimized KMgGaBi2 structure, as listed in the Alexandria database.

Structure (extended XYZ):
```
10
Lattice="4.666 0.000 0.000 0.000 4.666 0.000 0.000 0.000 14.877" Properties=species:S:1:pos:R:3 pbc="T T T"
K 0.000 0.000 0.000
K 2.333 2.333 7.439
Mg 0.000 2.333 3.719
Mg 2.333 0.000 11.158
Ga 0.000 2.333 11.158
Ga 2.333 0.000 3.719
Bi 0.000 0.000 5.537
Bi 0.000 0.000 9.341
Bi 2.333 2.333 1.902
Bi 2.333 2.333 12.975
```

Output
- total magnetization (Bohr magnetons per cell) = 0.00
- theoretical density (g/cm3) = 5.7
- V (Å³/atom) = 32.39
- calculated formation energy (kJ/mol of atoms) = -25.9

# 7
First-principles (PBE) data for a geometry-optimized Th6Te3As2Os structure, as listed in the Alexandria database.

Structure (extended XYZ):
```
12
Lattice="9.631 -2.116 0.000 9.631 2.116 0.000 -2.342 0.000 8.732" Properties=species:S:1:pos:R:3 pbc="T T T"
Th -0.435 0.000 1.864
Th 5.263 0.000 3.797
Th 4.553 0.000 7.889
Th 12.368 0.000 0.843
Th 11.658 0.000 4.935
Th 17.356 0.000 6.868
Te 1.351 0.000 7.278
Te 8.461 0.000 4.366
Te 15.570 0.000 1.455
As 2.413 0.000 2.912
As 14.509 0.000 5.821
Os 9.631 0.000 0.000
```

Output
- total magnetization (Bohr magnetons per cell) = 0.00
- uncorrected formation energy (eV/atom) = -1.111
- theoretical density (g/cm3) = 9.9
- V (Å³/atom) = 29.66

# 8
First-principles (PBE) data for a geometry-optimized Mn4V5Ni structure, as listed in the Alexandria database.

Structure (extended XYZ):
```
10
Lattice="2.887 0.000 0.000 0.000 2.887 0.000 0.000 0.000 14.341" Properties=species:S:1:pos:R:3 pbc="T T T"
Mn 0.000 0.000 1.433
Mn 0.000 0.000 4.313
Mn 0.000 0.000 10.029
Mn 0.000 0.000 12.908
V 1.443 1.443 0.000
V 1.443 1.443 2.855
V 1.443 1.443 5.679
V 1.443 1.443 8.662
V 1.443 1.443 11.486
Ni 0.000 0.000 7.171
```

Output
- total magnetization (Bohr magnetons per cell) = 0.91
- theoretical density (g/cm3) = 7.4
- V (Å³/atom) = 11.95
- calculated formation energy (kJ/mol of atoms) = -20.7

# 9
First-principles (PBE) data for a geometry-optimized Be3AlGe structure, as listed in the Alexandria database.

Structure (extended XYZ):
```
5
Lattice="4.287 0.000 0.000 0.000 4.287 0.000 0.000 0.000 4.287" Properties=species:S:1:pos:R:3 pbc="T T T"
Be 0.000 0.000 2.144
Be 0.000 2.144 0.000
Be 2.144 0.000 0.000
Al 2.144 2.144 2.144
Ge 0.000 0.000 0.000
```

Output
- total magnetization (Bohr magnetons per cell) = 0.00
- theoretical density (g/cm3) = 2.7
- V (Å³/atom) = 15.76
- calculated formation energy (kJ/mol of atoms) = 90.3
- distance to the lowest polymorph of the same formula (kJ per mole of atoms) = 0.0

# 10
First-principles (PBE) data for a geometry-optimized PmDy6Zn2 structure, as listed in the Alexandria database.

Structure (extended XYZ):
```
9
Lattice="-2.392 2.392 12.756 2.392 -2.392 12.756 2.392 2.392 -12.756" Properties=species:S:1:pos:R:3 pbc="T T T"
Pm 0.000 0.000 0.000
Dy 2.392 0.000 2.792
Dy 2.392 0.000 6.378
Dy 2.392 0.000 9.965
Dy 0.000 2.392 2.792
Dy 0.000 2.392 6.378
Dy 0.000 2.392 9.965
Zn 0.000 0.000 8.198
Zn 0.000 0.000 17.315
```

Output
- total magnetization (Bohr magnetons per cell) = 0.00
- theoretical density (g/cm3) = 7.1
- V (Å³/atom) = 32.44
- calculated formation energy (kJ/mol of atoms) = 24.9
- distance to the lowest polymorph of the same formula (kJ per mole of atoms) = 38.5

# 11
First-principles (PBE) data for a geometry-optimized SmHo2Sc structure, as listed in the Alexandria database.

Structure (extended XYZ):
```
4
Lattice="4.907 0.000 0.000 0.000 4.907 0.000 0.000 0.000 4.967" Properties=species:S:1:pos:R:3 pbc="T T T"
Sm 0.000 0.000 0.000
Ho 0.000 2.454 2.484
Ho 2.454 0.000 2.484
Sc 2.454 2.454 0.000
```

Output
- total magnetization (Bohr magnetons per cell) = 0.00
- theoretical density (g/cm3) = 7.3
- V (Å³/atom) = 29.90
- calculated formation energy (kJ/mol of atoms) = 4.0
- distance to the lowest polymorph of the same formula (kJ per mole of atoms) = 1.2

# 12
First-principles (PBE) data for a geometry-optimized Ta2FeHgCl structure, as listed in the Alexandria database.

Structure (extended XYZ):
```
5
Lattice="4.578 0.000 0.000 0.000 4.578 0.000 0.000 0.000 5.072" Properties=species:S:1:pos:R:3 pbc="T T T"
Ta 0.000 2.289 0.000
Ta 2.289 0.000 0.000
Fe 0.000 0.000 0.000
Hg 0.000 0.000 2.536
Cl 2.289 2.289 2.536
```

Output
- total magnetization (Bohr magnetons per cell) = 0.00
- uncorrected formation energy (eV/atom) = 0.867
- theoretical density (g/cm3) = 10.2
- V (Å³/atom) = 21.26